# VSnSb2O PBE with a Hubbard U relaxed
data_VSnSb2O
_chemical_formula_sum 'V1 Sn1 Sb2 O1'
_cell_length_a 5.6853
_cell_length_b 5.6853
_cell_length_c 3.9018
_cell_angle_alpha 90.00
_cell_angle_beta 90.00
_cell_angle_gamma 90.00
_space_group_name_H-M_alt 'P 4/m m m'
_space_group_IT_number 123
_space_group_name_Hall '-P 4 2'
loop_
_atom_site_label
_atom_site_type_symbol
_atom_site_fract_x
_atom_site_fract_y
_atom_site_fract_z
V1 V 0.0000 0.0000 0.0000
Sn1 Sn 0.5000 0.5000 0.5000
Sb1 Sb 0.0000 0.5000 0.5000
O1 O 0.5000 0.5000 0.0000
# VASP energy = -4.152 eV/atom
# Crystal system = tetragonal